# 1
This record from Alexandria describes a relaxed Ti3BIr crystal. The functional is PBE.

a b c (Å): 4.2044 4.2044 4.2044
angles (deg): 90.00 90.00 90.00
Sites, in units of the cell vectors:
Ti (0.0000, 0.0000, 0.5000)
Ti (0.5000, 0.0000, 0.0000)
Ir (0.5000, 0.5000, 0.5000)
B (0.0000, 0.0000, 0.0000)
Ti (0.0000, 0.5000, 0.0000)

Output
Calculated formation energy, meV/atom: -296.3

# 2
This record from Alexandria describes a relaxed PrNb5O14 crystal. The functional is PBE.

a b c (Å): 6.3460 7.7869 20.5658
angles (deg): 90.00 90.00 90.00
Sites, in units of the cell vectors:
O (0.4978, 0.5000, 0.5000)
O (0.1609, 0.2651, 0.0000)
O (0.6727, 0.5000, 0.1807)
O (0.0737, 0.7301, 0.3172)
O (0.9263, 0.2301, 0.1828)
O (0.6074, 0.7561, 0.5967)
Nb (0.4102, 0.2478, 0.3271)
O (0.2323, 0.7553, 0.5640)
O (0.3273, 0.0000, 0.3193)
Nb (0.4957, 0.7513, 0.5000)
O (0.6647, 0.7884, 0.7229)
O (0.0737, 0.2699, 0.3172)
O (0.9070, 0.5000, 0.4016)
O (0.7677, 0.7447, 0.9360)
Pr (0.9547, 0.0000, 0.2644)
O (0.3909, 0.5000, 0.3286)
O (0.8391, 0.7651, 0.5000)
O (0.3353, 0.7116, 0.2229)
O (0.6074, 0.7561, 0.4033)
Nb (0.9475, 0.7481, 0.4066)
O (0.0930, 0.0000, 0.0984)
O (0.2323, 0.7553, 0.4360)
Pr (0.0453, 0.5000, 0.7644)
O (0.6091, 0.0000, 0.8286)
Nb (0.4957, 0.2487, 0.5000)
O (0.9132, 0.0000, 0.3838)
O (0.6647, 0.7884, 0.2771)
O (0.6647, 0.2116, 0.2771)
O (0.0868, 0.5000, 0.1162)
O (0.5090, 0.5000, 0.0000)
Nb (0.5898, 0.7478, 0.1729)
O (0.3353, 0.7116, 0.7771)
O (0.3926, 0.7439, 0.0967)
Nb (0.0525, 0.7519, 0.9066)
O (0.8391, 0.2349, 0.5000)
Nb (0.5043, 0.7487, 0.0000)
O (0.6091, 0.0000, 0.1714)
Nb (0.9475, 0.2519, 0.4066)
O (0.5022, 0.0000, 0.0000)
O (0.4910, 0.0000, 0.5000)
O (0.3926, 0.7439, 0.9033)
O (0.0737, 0.2699, 0.6828)
Nb (0.9475, 0.2519, 0.5934)
O (0.9263, 0.2301, 0.8172)
O (0.3353, 0.2884, 0.2229)
Nb (0.0525, 0.2481, 0.0934)
O (0.0930, 0.0000, 0.9016)
O (0.3273, 0.0000, 0.6807)
Nb (0.0525, 0.7519, 0.0934)
Nb (0.5898, 0.2522, 0.1729)
O (0.2323, 0.2447, 0.5640)
O (0.6647, 0.2116, 0.7229)
O (0.9263, 0.7699, 0.1828)
O (0.9132, 0.0000, 0.6162)
O (0.7677, 0.2553, 0.9360)
Nb (0.5043, 0.2513, 0.0000)
Pr (0.0453, 0.5000, 0.2356)
O (0.3909, 0.5000, 0.6714)
Nb (0.5898, 0.2522, 0.8271)
Nb (0.0525, 0.2481, 0.9066)
Pr (0.9547, 0.0000, 0.7356)
O (0.7677, 0.7447, 0.0640)
O (0.6074, 0.2439, 0.5967)
Nb (0.4102, 0.7522, 0.6729)
O (0.2323, 0.2447, 0.4360)
O (0.0737, 0.7301, 0.6828)
O (0.3926, 0.2561, 0.9033)
O (0.3926, 0.2561, 0.0967)
O (0.7677, 0.2553, 0.0640)
O (0.9070, 0.5000, 0.5984)
O (0.9263, 0.7699, 0.8172)
O (0.0868, 0.5000, 0.8838)
Nb (0.5898, 0.7478, 0.8271)
O (0.3353, 0.2884, 0.7771)
Nb (0.9475, 0.7481, 0.5934)
O (0.6727, 0.5000, 0.8193)
O (0.1609, 0.7349, 0.0000)
Nb (0.4102, 0.7522, 0.3271)
Nb (0.4102, 0.2478, 0.6729)
O (0.6074, 0.2439, 0.4033)

Output
Formation energy from raw total energies, eV/atom: -2.670

# 3
This record from Alexandria describes a relaxed PmZnPdAu crystal. The functional is PBE.

a b c (Å): 4.8527 4.8527 4.8527
angles (deg): 60.00 60.00 60.00
Sites, in units of the cell vectors:
Pm (0.2500, 0.2500, 0.2500)
Au (0.5000, 0.5000, 0.5000)
Zn (0.7500, 0.7500, 0.7500)
Pd (0.0000, 0.0000, 0.0000)

Output
Calculated formation energy, meV/atom: -591.9

# 4
This record from Alexandria describes a relaxed K2RhF crystal. The functional is PBE.

a b c (Å): 5.3763 5.3763 5.3763
angles (deg): 60.00 60.00 60.00
Each line ends with the local moment (μB).
Sites, in units of the cell vectors:
K (0.7500, 0.7500, 0.7500)  0.02
F (0.0000, 0.0000, 0.0000)  0.06
K (0.2500, 0.2500, 0.2500)  0.02
Rh (0.5000, 0.5000, 0.5000)  1.27

Output
Formation energy from raw total energies, eV/atom: -0.218

# 5
This record from Alexandria describes a relaxed RbHg2Te2 crystal. The functional is PBE.

a b c (Å): 7.4300 7.4300 9.3896
angles (deg): 113.31 113.31 90.00
Sites, in units of the cell vectors:
Hg (0.6250, 0.3750, 0.2500)
Te (0.4906, 0.9906, 0.9812)
Te (0.2406, 0.2406, 0.4812)
Hg (0.1250, 0.3750, 0.7500)
Rb (0.0000, 0.0000, 0.0000)
Hg (0.6250, 0.8750, 0.2500)
Hg (0.6250, 0.3750, 0.7500)
Rb (0.2500, 0.7500, 0.5000)
Te (0.7594, 0.7594, 0.5188)
Te (0.0094, 0.5094, 0.0188)

Output
Formation energy from raw total energies, eV/atom: -0.261

# 6
This record from Alexandria describes a relaxed UHgPbI6 crystal. The functional is PBE.

a b c (Å): 7.9852 7.9852 18.5866
angles (deg): 90.00 90.00 120.00
Each line ends with the local moment (μB).
Sites, in units of the cell vectors:
I (0.3670, 0.3450, 0.3463)  0.03
Hg (0.0000, 0.0000, 0.5000)  0.01
I (0.3450, 0.3670, 0.8463)  0.03
Hg (0.0000, 0.0000, 0.0000)  0.01
I (0.3670, 0.0220, 0.1537)  0.03
Pb (0.3333, 0.6667, 0.2500)  0.00
I (0.6550, 0.6330, 0.1537)  0.03
U (0.3333, 0.6667, 0.7500)  -2.17
I (0.6330, 0.6550, 0.6537)  0.03
I (0.3450, 0.9780, 0.6537)  0.03
I (0.0220, 0.3670, 0.6537)  0.03
I (0.9780, 0.3450, 0.1537)  0.03
I (0.0220, 0.6550, 0.8463)  0.03
I (0.9780, 0.6330, 0.3463)  0.03
Pb (0.6667, 0.3333, 0.7500)  0.00
U (0.6667, 0.3333, 0.2500)  -2.17
I (0.6550, 0.0220, 0.3463)  0.03
I (0.6330, 0.9780, 0.8463)  0.03

Output
Formation energy from raw total energies, eV/atom: -0.663

# 7
This record from Alexandria describes a relaxed Sn2Sb2Pb crystal. The functional is PBE.

a b c (Å): 4.4648 4.4648 9.4618
angles (deg): 76.35 76.35 60.00
Sites, in units of the cell vectors:
Sn (0.2047, 0.2047, 0.3860)
Sn (0.7953, 0.7953, 0.6140)
Pb (0.0000, 0.0000, 0.0000)
Sb (0.4059, 0.4059, 0.7823)
Sb (0.5941, 0.5941, 0.2177)

Output
Formation energy from raw total energies, eV/atom: -0.015

# 8
This record from Alexandria describes a relaxed BeNiW crystal. The functional is PBE.

a b c (Å): 6.6499 4.6092 2.6116
angles (deg): 106.40 89.98 67.68
Sites, in units of the cell vectors:
Be (0.6986, 0.6441, 0.9559)
W (0.2634, 0.5945, 0.9307)
Be (0.8887, 0.8699, 0.5690)
Ni (0.4258, 0.9630, 0.6149)
W (0.0328, 0.2498, 0.2595)
Ni (0.6276, 0.2702, 0.2687)

Output
Calculated formation energy, meV/atom: -34.2

Which total moment belongs to each record? In order, 0.000 0.000 0.000 0.500 0.000 0.222 0.000 0.000 μB per atom.
Which E_tot belongs to each record? In order, -40.7 -711.8 -16.9 -12.3 -18.3 -61.1 -20.0 -45.1 eV/cell.